[1]
A relaxed Nd2GaPd5 crystal, computed with PBE.

- Size of the total moment: 0.0 μB/f.u.
- Energy relative to the elements: -0.7239 eV/atom
- Uncorrected energy: -5.54 eV/atom
- Space group: No. 107

```
Nd2GaPd5
1.0
-5.256 -1.822 -2.353
1.220 -1.588 5.698
0.710 5.908 1.034
Nd Ga Pd
2 1 5
Direct
0.500 0.250 0.750
0.500 0.750 0.250
0.000 0.945 0.945
0.448 0.729 0.729
0.000 0.729 0.281
0.000 0.281 0.729
0.552 0.281 0.281
0.000 0.257 0.257
```



[2]
A relaxed NdGa12Pd6 crystal, computed with PBE.

- Size of the total moment: 0.0 μB/f.u.
- Energy relative to the elements: -0.4906 eV/atom
- Uncorrected energy: -4.29 eV/atom
- Space group: No. 166

```
NdGa12Pd6
1.0
-6.629 1.084 -2.598
-1.102 -3.664 6.102
2.078 6.522 2.239
Nd Ga Pd
1 12 6
Direct
0.000 0.000 0.000
0.890 0.110 0.500
0.855 0.604 0.604
0.604 0.604 0.855
0.396 0.145 0.396
0.396 0.396 0.145
0.145 0.396 0.396
0.110 0.500 0.890
0.500 0.890 0.110
0.110 0.890 0.500
0.890 0.500 0.110
0.500 0.110 0.890
0.604 0.855 0.604
0.718 0.289 0.289
0.289 0.289 0.718
0.289 0.718 0.289
0.711 0.711 0.282
0.282 0.711 0.711
0.711 0.282 0.711
```



| no. | N(E_F) (states/eV/f.u.) |
| --- | --- |
| 1 | 5.6 |
| 2 | 6.5 |